# SeIOF2 PBE optimized geometry
# ΔE_f (raw) = 223 meV/atom
# energy above the most stable polymorph in this dataset = 0.566 eV/atom
data_SeIOF2
_chemical_formula_sum 'Se1 I1 O1 F2'
_space_group_name_H-M_alt 'P 4/m m m'
_space_group_IT_number 123
_space_group_name_Hall '-P 4 2'
_cell_length_a 4.2939
_cell_length_b 4.2939
_cell_length_c 5.5151
_cell_angle_alpha 90.00
_cell_angle_beta 90.00
_cell_angle_gamma 90.00
loop_
_atom_site_label
_atom_site_type_symbol
_atom_site_fract_x
_atom_site_fract_y
_atom_site_fract_z
Se1 Se 0.0000 0.0000 0.0000
I1 I 0.0000 0.0000 0.5000
O1 O 0.5000 0.5000 0.0000
F1 F 0.0000 0.5000 0.5000